KHf | the Alexandria database | PBE | relaxed; space group = P4_2/mnm, No. 136; total moment = 0.8 μB/f.u.; ΔH_f (0 K) = 1.821 eV/atom
1.0
6.893 0.000 0.000
0.000 6.893 0.000
0.000 0.000 7.098
K Hf
4 4
direct
0.838 0.162 0.000
0.338 0.338 0.500
0.662 0.662 0.500
0.162 0.838 0.000
0.868 0.132 0.500
0.632 0.632 0.000
0.368 0.368 0.000
0.132 0.868 0.500

***

Pr7Ag2Sn2 | the Alexandria database | PBE | relaxed; space group = Cmmm, No. 65; total moment = 0.0 μB/f.u.; ΔH_f (0 K) = -0.118 eV/atom
1.0
-2.384 -0.695 -6.757
-2.703 -6.667 1.642
-5.275 3.075 3.812
Ag Pr Sn
2 7 2
direct
0.719 0.000 0.281
0.281 0.000 0.719
0.000 0.000 0.000
0.500 0.279 0.000
0.500 0.745 0.500
0.500 0.255 0.500
0.000 0.721 0.500
0.000 0.279 0.500
0.500 0.721 0.000
0.828 0.500 0.828
0.172 0.500 0.172

***

LiY2Bi | the Alexandria database | PBE | relaxed; space group = R3m, No. 160; total moment = 0.6 μB/f.u.; ΔH_f (0 K) = -0.156 eV/atom
1.0
-3.106 -2.480 -2.195
0.333 -4.528 -0.052
-4.840 -2.693 5.195
Y Li Bi
2 1 1
direct
0.077 0.077 0.768
0.256 0.256 0.232
0.502 0.502 0.494
0.665 0.665 0.006

***

Tb6Er2Tm3Zr | the Alexandria database | PBE | relaxed; space group = C2/m, No. 12; total moment = 0.0 μB/f.u.; ΔH_f (0 K) = 0.044 eV/atom
1.0
6.056 0.004 0.006
-3.024 5.248 0.006
-1.014 -1.756 11.391
Tb Tm Zr Er
6 3 1 2
direct
0.409 0.082 0.246
0.591 0.918 0.754
0.755 0.755 0.245
0.082 0.409 0.246
0.245 0.245 0.755
0.918 0.591 0.754
0.167 0.833 0.500
0.833 0.167 0.500
0.500 0.500 0.500
0.000 0.000 0.000
0.333 0.667 0.000
0.667 0.333 0.000

***

Ca5ErAg6 | the Alexandria database | PBE | relaxed; space group = P2/m, No. 10; total moment = 0.0 μB/f.u.; ΔH_f (0 K) = -0.310 eV/atom
1.0
0.520 4.500 2.553
1.916 -3.693 6.121
7.792 2.626 -0.854
Ag Ca Er
6 5 1
direct
0.841 0.244 0.319
0.841 0.756 0.319
0.500 0.231 0.000
0.159 0.244 0.681
0.500 0.769 0.000
0.159 0.756 0.681
0.000 0.500 0.000
0.334 0.500 0.333
0.668 0.000 0.663
0.332 0.000 0.337
0.666 0.500 0.667
0.000 0.000 0.000

***

Sc2SnSe | the Alexandria database | PBE | relaxed; space group = Fm-3m, No. 225; total moment = 0.0 μB/f.u.; formation energy (no corrections) = -0.70 eV/atom
1.0
-2.345 -4.240 1.229
-0.895 -1.059 4.802
-4.675 0.150 1.763
Sc Sn Se
2 1 1
direct
0.250 0.250 0.250
0.750 0.750 0.750
0.500 0.500 0.500
0.000 0.000 0.000

***

Al5Pb3S12 | the Alexandria database | PBE | relaxed; space group = Ia-3d, No. 230; total moment = 0.0 μB/f.u.; formation energy (no corrections) = -0.67 eV/atom
1.0
-12.969 0.963 -2.153
2.215 -8.665 9.684
4.765 11.789 3.477
S Al Pb
48 20 12
direct
0.299 0.886 0.978
0.886 0.587 0.908
0.299 0.413 0.821
0.413 0.114 0.592
0.913 0.092 0.614
0.201 0.679 0.087
0.478 0.679 0.092
0.413 0.299 0.321
0.679 0.201 0.587
0.408 0.386 0.587
0.701 0.587 0.179
0.908 0.087 0.886
0.799 0.478 0.386
0.614 0.592 0.913
0.587 0.701 0.679
0.201 0.522 0.614
0.587 0.886 0.408
0.886 0.299 0.478
0.592 0.614 0.413
0.701 0.114 0.022
0.386 0.408 0.087
0.799 0.321 0.913
0.092 0.913 0.114
0.386 0.978 0.799
0.908 0.821 0.522
0.978 0.592 0.179
0.592 0.978 0.679
0.022 0.408 0.821
0.114 0.701 0.522
0.821 0.908 0.022
0.114 0.413 0.092
0.087 0.179 0.201
0.321 0.799 0.413
0.321 0.522 0.408
0.679 0.478 0.592
0.022 0.614 0.701
0.179 0.092 0.978
0.087 0.908 0.386
0.522 0.201 0.114
0.821 0.913 0.299
0.179 0.087 0.701
0.522 0.321 0.908
0.092 0.179 0.478
0.978 0.386 0.299
0.913 0.821 0.799
0.478 0.799 0.886
0.408 0.022 0.321
0.614 0.022 0.201
0.250 0.875 0.125
0.500 0.500 0.500
0.500 0.000 0.000
0.375 0.125 0.750
0.875 0.250 0.625
0.125 0.750 0.375
0.000 0.000 0.500
0.375 0.250 0.125
0.250 0.375 0.625
0.500 0.000 0.500
0.625 0.750 0.875
0.000 0.500 0.000
0.750 0.625 0.375
0.625 0.875 0.250
0.000 0.500 0.500
0.750 0.125 0.875
0.000 0.000 0.000
0.875 0.625 0.750
0.125 0.375 0.250
0.500 0.500 0.000
0.250 0.125 0.375
0.625 0.375 0.750
0.625 0.250 0.375
0.375 0.750 0.625
0.750 0.875 0.625
0.125 0.250 0.875
0.875 0.125 0.250
0.250 0.625 0.875
0.750 0.375 0.125
0.125 0.875 0.750
0.875 0.750 0.125
0.375 0.625 0.250

***

BaScCuGe2 | the Alexandria database | PBE | relaxed; space group = P4/mmm, No. 123; total moment = 0.0 μB/f.u.; ΔH_f (0 K) = 1.209 eV/atom
1.0
-1.989 4.597 2.536
-4.839 -1.276 -1.483
-0.686 -2.917 4.749
Sc Cu Ge Ba
1 1 2 1
direct
0.500 0.500 0.500
0.000 0.500 0.000
0.500 0.000 0.000
0.000 0.000 0.500
0.000 0.000 0.000

***

Li2Dy3Pt3 | the Alexandria database | PBE | relaxed; space group = P6_3/mcm, No. 193; total moment = 0.0 μB/f.u.; ΔH_f (0 K) = -0.942 eV/atom
1.0
5.566 0.000 0.000
0.000 7.276 -4.201
0.000 0.000 8.402
Dy Li Pt
6 4 6
direct
0.750 0.000 0.278
0.750 0.722 0.722
0.250 0.722 0.000
0.250 0.278 0.278
0.750 0.278 0.000
0.250 0.000 0.722
0.500 0.333 0.667
0.500 0.667 0.333
0.000 0.333 0.667
0.000 0.667 0.333
0.250 0.619 0.619
0.750 0.619 0.000
0.250 0.000 0.381
0.750 0.381 0.381
0.250 0.381 0.000
0.750 0.000 0.619

***

Li5HCl4 | the Alexandria database | PBE | relaxed; space group = R3m, No. 160; total moment = 0.0 μB/f.u.; E = -35.23 eV per cell
1.0
3.774 0.000 0.462
1.859 3.285 0.462
0.011 0.006 15.561
Cl H Li
4 1 5
direct
0.556 0.556 0.333
0.152 0.152 0.544
0.344 0.344 0.967
0.748 0.748 0.755
0.951 0.951 0.146
0.204 0.204 0.389
0.992 0.992 0.024
0.607 0.607 0.179
0.396 0.396 0.812
0.800 0.800 0.601

***

TbSi2Pd5Au | the Alexandria database | PBE | relaxed; space group = P4/mmm, No. 123; total moment = 0.0 μB/f.u.; formation energy (no corrections) = -0.61 eV/atom
1.0
-0.125 -3.053 2.731
3.189 -1.787 -1.852
5.664 4.559 5.357
Pd Si Au Tb
5 2 1 1
direct
0.000 0.500 0.261
0.500 0.000 0.261
0.000 0.500 0.739
0.500 0.500 0.500
0.500 0.000 0.739
0.500 0.500 0.874
0.500 0.500 0.126
0.000 0.000 0.000
0.000 0.000 0.500

***

Er2AlO | the Alexandria database | PBE | relaxed; space group = R-3m, No. 166; total moment = 0.0 μB/f.u.; formation energy (no corrections) = -1.08 eV/atom
1.0
-1.711 -2.685 1.097
0.843 -3.083 -1.061
5.226 -2.711 6.682
Er Al O
2 1 1
direct
0.114 0.114 0.657
0.886 0.886 0.343
0.000 0.000 0.000
0.500 0.500 0.500

***

| no. | ρ (g cm⁻³) |
| --- | --- |
| 1 | 4.29 |
| 2 | 6.54 |
| 3 | 5.14 |
| 4 | 8.65 |
| 5 | 5.59 |
| 6 | 5.41 |
| 7 | 4.30 |
| 8 | 3.95 |
| 9 | 10.60 |
| 10 | 1.53 |
| 11 | 10.34 |
| 12 | 7.34 |